Arrangement P

VASP calculation (SCAN) on a crystal of BaCa2Mo relaxed with PBEsol.

```
data_BaCa2Mo
_cell_length_a 6.793
_cell_length_b 11.327
_cell_length_c 3.552
_cell_angle_alpha 90.00
_cell_angle_beta 111.81
_cell_angle_gamma 90.00
_space_group_name_H-M_alt 'C 1 2/m 1'
_space_group_IT_number 12
loop_
_space_group_symop_operation_xyz
'x,y,z'
'-x,-y,-z'
'-x,y,-z'
'x,-y,z'
'x+1/2,y+1/2,z'
'-x+1/2,-y+1/2,-z'
'-x+1/2,y+1/2,-z'
'x+1/2,-y+1/2,z'
loop_
_atom_site_label
_atom_site_type_symbol
_atom_site_fract_x
_atom_site_fract_y
_atom_site_fract_z
Ba1 Ba 0.000 0.000 0.000
Ca1 Ca 0.250 0.250 0.500
Mo1 Mo 0.000 0.500 0.000
```


Arrangement Q

VASP calculation (SCAN) on a crystal of BaCa2Mo relaxed with PBEsol.

```
data_BaCa2Mo
_cell_length_a 3.737
_cell_length_b 3.737
_cell_length_c 9.592
_cell_angle_alpha 90.00
_cell_angle_beta 90.00
_cell_angle_gamma 90.00
_space_group_name_H-M_alt 'P 4 m m'
_space_group_IT_number 99
loop_
_space_group_symop_operation_xyz
'x,y,z'
'-y,x,z'
'-x,-y,z'
'y,-x,z'
'-x,y,z'
'y,x,z'
'x,-y,z'
'-y,-x,z'
loop_
_atom_site_label
_atom_site_type_symbol
_atom_site_fract_x
_atom_site_fract_y
_atom_site_fract_z
Ba1 Ba 0.000 0.000 0.000
Ca1 Ca 0.000 0.000 0.612
Ca2 Ca 0.500 0.500 0.334
Mo1 Mo 0.500 0.500 0.781
```


Arrangement R

VASP calculation (SCAN) on a crystal of BaCa2Mo relaxed with PBEsol.

```
data_BaCa2Mo
_cell_length_a 3.716
_cell_length_b 5.836
_cell_length_c 12.165
_cell_angle_alpha 90.00
_cell_angle_beta 90.00
_cell_angle_gamma 90.00
_space_group_name_H-M_alt 'I m m 2'
_space_group_IT_number 44
loop_
_space_group_symop_operation_xyz
'x,y,z'
'-x,-y,z'
'-x,y,z'
'x,-y,z'
'x+1/2,y+1/2,z+1/2'
'-x+1/2,-y+1/2,z+1/2'
'-x+1/2,y+1/2,z+1/2'
'x+1/2,-y+1/2,z+1/2'
loop_
_atom_site_label
_atom_site_type_symbol
_atom_site_fract_x
_atom_site_fract_y
_atom_site_fract_z
Ba1 Ba 0.000 0.000 0.000
Ca1 Ca 0.000 0.000 0.603
Ca2 Ca 0.000 0.500 0.800
Mo1 Mo 0.000 0.500 0.295
```


Quick one: most stable of them? arrangement Q


Arrangement P

VASP calculation (SCAN) on a crystal of Ba4CaZr5O15 relaxed with PBEsol.

```
data_Ba4CaZr5O15
_cell_length_a 9.327
_cell_length_b 9.327
_cell_length_c 4.173
_cell_angle_alpha 90.00
_cell_angle_beta 90.00
_cell_angle_gamma 90.00
_space_group_name_H-M_alt 'P 4/m'
_space_group_IT_number 83
loop_
_space_group_symop_operation_xyz
'x,y,z'
'-x,-y,-z'
'-y,x,z'
'y,-x,-z'
'-x,-y,z'
'x,y,-z'
'y,-x,z'
'-y,x,-z'
loop_
_atom_site_label
_atom_site_type_symbol
_atom_site_fract_x
_atom_site_fract_y
_atom_site_fract_z
Ba1 Ba 0.101 0.699 0.000
Ca1 Ca 0.500 0.500 0.000
Zr1 Zr 0.000 0.000 0.500
Zr2 Zr 0.203 0.401 0.500
O1 O 0.000 0.000 0.000
O2 O 0.000 0.500 0.500
O3 O 0.103 0.199 0.500
O4 O 0.209 0.403 0.000
O5 O 0.304 0.598 0.500
```


Arrangement Q

VASP calculation (SCAN) on a crystal of Ba4CaZr5O15 relaxed with PBEsol.

```
data_Ba4CaZr5O15
_cell_length_a 5.857
_cell_length_b 5.857
_cell_length_c 41.897
_cell_angle_alpha 90.00
_cell_angle_beta 90.00
_cell_angle_gamma 90.00
_space_group_name_H-M_alt 'I -4 2 m'
_space_group_IT_number 121
_space_group_name_Hall 'I -4 2'
loop_
_atom_site_label
_atom_site_type_symbol
_atom_site_fract_x
_atom_site_fract_y
_atom_site_fract_z
Ba1 Ba 0.000 0.000 0.000
Ba2 Ba 0.000 0.000 0.100
Ba3 Ba 0.000 0.000 0.201
Ba4 Ba 0.000 0.000 0.399
Ba5 Ba 0.000 0.000 0.500
Ca1 Ca 0.000 0.000 0.300
Zr1 Zr 0.000 0.500 0.050
Zr2 Zr 0.000 0.500 0.151
Zr3 Zr 0.000 0.500 0.250
O1 O 0.000 0.500 0.000
O2 O 0.000 0.500 0.101
O3 O 0.000 0.500 0.201
O4 O 0.195 0.195 0.746
O5 O 0.204 0.204 0.346
O6 O 0.211 0.211 0.150
O7 O 0.227 0.227 0.550
O8 O 0.227 0.227 0.950
```


Quick one: most stable of them? arrangement Q


Arrangement P

VASP calculation (SCAN) on a crystal of Ba2CaOs relaxed with PBEsol.

```
data_Ba2CaOs
_cell_length_a 5.452
_cell_length_b 5.452
_cell_length_c 7.811
_cell_angle_alpha 90.00
_cell_angle_beta 90.00
_cell_angle_gamma 90.00
_space_group_name_H-M_alt 'I 4/m m m'
_space_group_IT_number 139
_space_group_name_Hall '-I 4 2'
loop_
_atom_site_label
_atom_site_type_symbol
_atom_site_fract_x
_atom_site_fract_y
_atom_site_fract_z
Ba1 Ba 0.000 0.500 0.250
Ca1 Ca 0.000 0.000 0.000
Os1 Os 0.000 0.000 0.500
```


Arrangement Q

VASP calculation (SCAN) on a crystal of Ba2CaOs relaxed with PBEsol.

```
data_Ba2CaOs
_cell_length_a 4.0968
_cell_length_b 4.0968
_cell_length_c 32.5338
_cell_angle_alpha 90.00
_cell_angle_beta 90.00
_cell_angle_gamma 120.00
_space_group_name_H-M_alt 'R -3 m'
_space_group_IT_number 166
_space_group_name_Hall '-R 3 2"'
loop_
_atom_site_label
_atom_site_type_symbol
_atom_site_fract_x
_atom_site_fract_y
_atom_site_fract_z
Ba1 Ba 0.0000 0.0000 0.2252
Ca1 Ca 0.0000 0.0000 0.0000
Os1 Os 0.0000 0.0000 0.5000
```


Quick one: most stable of them? arrangement Q


Arrangement P

VASP calculation (SCAN) on a crystal of BaCa2Pb2 relaxed with PBEsol.

```
data_BaCa2Pb2
_cell_length_a 5.142
_cell_length_b 5.142
_cell_length_c 13.742
_cell_angle_alpha 90.00
_cell_angle_beta 90.00
_cell_angle_gamma 90.00
_space_group_name_H-M_alt 'I 4/m m m'
_space_group_IT_number 139
_space_group_name_Hall '-I 4 2'
loop_
_atom_site_label
_atom_site_type_symbol
_atom_site_fract_x
_atom_site_fract_y
_atom_site_fract_z
Ba1 Ba 0.000 0.000 0.000
Ca1 Ca 0.000 0.500 0.250
Pb1 Pb 0.000 0.000 0.391
```


Arrangement Q

VASP calculation (SCAN) on a crystal of BaCa2Pb2 relaxed with PBEsol.

```
data_BaCa2Pb2
_cell_length_a 9.495
_cell_length_b 9.495
_cell_length_c 3.544
_cell_angle_alpha 90.00
_cell_angle_beta 90.00
_cell_angle_gamma 90.00
_space_group_name_H-M_alt 'P 4/m b m'
_space_group_IT_number 127
_space_group_name_Hall '-P 4 2ab'
loop_
_atom_site_label
_atom_site_type_symbol
_atom_site_fract_x
_atom_site_fract_y
_atom_site_fract_z
Ba1 Ba 0.000 0.000 0.000
Ca1 Ca 0.124 0.376 0.000
Pb1 Pb 0.174 0.674 0.500
```


Quick one: most stable of them? arrangement Q


Arrangement P

VASP calculation (SCAN) on a crystal of BaCa3Sb relaxed with PBEsol.

```
data_BaCa3Sb
_cell_length_a 6.057
_cell_length_b 6.057
_cell_length_c 6.057
_cell_angle_alpha 90.00
_cell_angle_beta 90.00
_cell_angle_gamma 90.00
_space_group_name_H-M_alt 'P m -3 m'
_space_group_IT_number 221
_space_group_name_Hall '-P 4 2 3'
loop_
_atom_site_label
_atom_site_type_symbol
_atom_site_fract_x
_atom_site_fract_y
_atom_site_fract_z
Ba1 Ba 0.000 0.000 0.000
Ca1 Ca 0.000 0.500 0.500
Sb1 Sb 0.500 0.500 0.500
```


Arrangement Q

VASP calculation (SCAN) on a crystal of BaCa3Sb relaxed with PBEsol.

```
data_BaCa3Sb
_cell_length_a 5.633
_cell_length_b 5.633
_cell_length_c 5.633
_cell_angle_alpha 90.00
_cell_angle_beta 90.00
_cell_angle_gamma 90.00
_space_group_name_H-M_alt 'P m -3 m'
_space_group_IT_number 221
_space_group_name_Hall '-P 4 2 3'
loop_
_atom_site_label
_atom_site_type_symbol
_atom_site_fract_x
_atom_site_fract_y
_atom_site_fract_z
Ba1 Ba 0.000 0.000 0.000
Ca1 Ca 0.000 0.000 0.500
Sb1 Sb 0.500 0.500 0.500
```


Quick one: most stable of them? arrangement P


Arrangement P

VASP calculation (SCAN) on a crystal of BaCaSb2 relaxed with PBEsol.

```
data_BaCaSb2
_cell_length_a 3.596
_cell_length_b 5.706
_cell_length_c 6.689
_cell_angle_alpha 90.00
_cell_angle_beta 90.00
_cell_angle_gamma 90.00
_space_group_name_H-M_alt 'P m m m'
_space_group_IT_number 47
loop_
_space_group_symop_operation_xyz
'x,y,z'
'-x,-y,-z'
'-x,-y,z'
'x,y,-z'
'x,-y,-z'
'-x,y,z'
'-x,y,-z'
'x,-y,z'
loop_
_atom_site_label
_atom_site_type_symbol
_atom_site_fract_x
_atom_site_fract_y
_atom_site_fract_z
Ba1 Ba 0.000 0.000 0.000
Ca1 Ca 0.500 0.500 0.500
Sb1 Sb 0.000 0.000 0.500
Sb2 Sb 0.500 0.500 0.000
```


Arrangement Q

VASP calculation (SCAN) on a crystal of BaCaSb2 relaxed with PBEsol.

```
data_BaCaSb2
_cell_length_a 4.179
_cell_length_b 4.179
_cell_length_c 7.217
_cell_angle_alpha 90.00
_cell_angle_beta 90.00
_cell_angle_gamma 90.00
_space_group_name_H-M_alt 'P 4/m m m'
_space_group_IT_number 123
_space_group_name_Hall '-P 4 2'
loop_
_atom_site_label
_atom_site_type_symbol
_atom_site_fract_x
_atom_site_fract_y
_atom_site_fract_z
Ba1 Ba 0.000 0.000 0.000
Ca1 Ca 0.000 0.000 0.500
Sb1 Sb 0.500 0.500 0.290
```


Quick one: most stable of them? arrangement Q